Entry 1:
The following is a PBE calculation of KTaO3 after structural relaxation, from the Alexandria database.

Cell lengths 3.9473, 3.9473, 8.4484 Å; angles 90.00, 90.00, 120.00 degrees
Closest atoms and distances in Å follow each position.
Sites, in units of the cell vectors:
1 K 0.6667 0.3333 0.2500  5 O 2.28-2.46
2 K 0.3333 0.6667 0.7500  5 O 2.28-2.46
3 Ta 0.0000 0.0000 0.5000  8 O 2.11-2.31
4 Ta 0.0000 0.0000 0.0000  8 O 2.11-2.31
5 O 0.0000 0.0000 0.7500  2 Ta 2.11, 3 K 2.28
6 O 0.3333 0.6667 0.4589  3 Ta 2.31, 3 O 2.38, 1 K 2.46
7 O 0.6667 0.3333 0.5411  3 Ta 2.31, 3 O 2.38, 1 K 2.46
8 O 0.0000 0.0000 0.2500  2 Ta 2.11, 3 K 2.28
9 O 0.3333 0.6667 0.0411  3 Ta 2.31, 3 O 2.38, 1 K 2.46
10 O 0.6667 0.3333 0.9589  3 Ta 2.31, 3 O 2.38, 1 K 2.46

M_tot   0.00 μB/f.u.
ΔE_f (raw)   -1685 meV/atom
SG   P6_3/mmc, No. 194

=====

Entry 2:
The following is a PBE calculation of YErMgRu after structural relaxation, from the Alexandria database.

Cell lengths 3.4411, 3.4411, 8.0250 Å; angles 90.00, 90.00, 90.00 degrees
Closest atoms and distances in Å follow each position.
Sites, in units of the cell vectors:
1 Y 0.5000 0.5000 0.7761  4 Ru 2.96, 1 Er 3.28
2 Ru 0.0000 0.0000 0.5665  4 Er 2.91, 4 Y 2.96
3 Mg 0.0000 0.0000 0.0744  4 Er 3.38, 4 Y 3.41, 4 Mg 3.44
4 Er 0.5000 0.5000 0.3676  4 Ru 2.91

M_tot   0.00 μB/f.u.
ΔE_f   -0.303 eV/atom
SG   P4mm, No. 99

=====

Entry 3:
The following is a PBE calculation of Dy4TlO after structural relaxation, from the Alexandria database.

Cell lengths 5.1022, 8.6292, 8.9905 Å; angles 90.00, 90.00, 126.17 degrees
Closest atoms and distances in Å follow each position.
Sites, in units of the cell vectors:
1 O 0.1575 0.9066 0.2500  3 Dy 2.20-2.21
2 O 0.8425 0.0934 0.7500  3 Dy 2.20-2.21
3 Dy 0.6803 0.9300 0.2500  2 O 2.55-2.56
4 Dy 0.0221 0.2719 0.5474  1 O 2.21
5 Dy 0.9779 0.7281 0.0474  1 O 2.21
6 Dy 0.3197 0.0700 0.7500  2 O 2.55-2.56
7 Dy 0.9779 0.7281 0.4526  1 O 2.21
8 Dy 0.0221 0.2719 0.9526  1 O 2.21
9 Dy 0.5269 0.7774 0.7500  1 O 2.20
10 Dy 0.4731 0.2226 0.2500  1 O 2.20
11 Tl 0.7484 0.4987 0.7500  5 Dy 2.99-3.21
12 Tl 0.2516 0.5013 0.2500  5 Dy 2.99-3.21

M_tot   0.00 μB/f.u.
ΔE_f (raw)   -996 meV/atom
SG   P2_1/m, No. 11